(one)
# Tl2AgI3 (PBE, relaxed)
# Symmetry ... Cmc2_1, No. 36
data_Tl2AgI3
_cell_length_a 7.114
_cell_length_b 9.401
_cell_length_c 9.401
_cell_angle_alpha 114.43
_cell_angle_beta 90.00
_cell_angle_gamma 90.00
_symmetry_space_group_name_H-M 'P 1'
_symmetry_Int_Tables_number 1
loop_
_symmetry_equiv_pos_as_xyz
'x,y,z'
loop_
_atom_site_label
_atom_site_fract_x
_atom_site_fract_y
_atom_site_fract_z
_atom_site_occupancy
I1 0.478 0.169 0.461 1
Tl1 0.485 0.824 0.503 1
Tl2 0.985 0.497 0.176 1
Tl3 0.485 0.503 0.824 1
Ag1 0.565 0.159 0.159 1
Tl4 0.985 0.176 0.497 1
I2 0.978 0.539 0.831 1
I3 0.467 0.885 0.885 1
I4 0.967 0.115 0.115 1
I5 0.478 0.461 0.169 1
Ag2 0.065 0.841 0.841 1
I6 0.978 0.831 0.539 1


(two)
# Tl2AgI3 (PBE, relaxed)
# Symmetry ... Pnma, No. 62
data_Tl2AgI3
_cell_length_a 4.790
_cell_length_b 10.018
_cell_length_c 19.728
_cell_angle_alpha 90.00
_cell_angle_beta 90.00
_cell_angle_gamma 90.00
_symmetry_space_group_name_H-M 'P 1'
_symmetry_Int_Tables_number 1
loop_
_symmetry_equiv_pos_as_xyz
'x,y,z'
loop_
_atom_site_label
_atom_site_fract_x
_atom_site_fract_y
_atom_site_fract_z
_atom_site_occupancy
I1 0.750 0.689 0.220 1
Tl1 0.250 0.923 0.284 1
Tl2 0.250 0.423 0.216 1
Ag1 0.750 0.632 0.362 1
I2 0.750 0.886 0.429 1
I3 0.250 0.114 0.571 1
Tl3 0.250 0.252 0.965 1
I4 0.750 0.386 0.071 1
Tl4 0.750 0.577 0.784 1
I5 0.250 0.811 0.720 1
Tl5 0.750 0.077 0.716 1
I6 0.250 0.311 0.780 1
Ag2 0.250 0.868 0.862 1
I7 0.250 0.493 0.401 1
Ag3 0.750 0.132 0.138 1
I8 0.250 0.993 0.099 1
Tl6 0.750 0.248 0.465 1
I9 0.750 0.507 0.599 1
Tl7 0.250 0.752 0.535 1
I10 0.750 0.007 0.901 1
Ag4 0.250 0.368 0.638 1
Tl8 0.750 0.748 0.035 1
I11 0.750 0.189 0.280 1
I12 0.250 0.614 0.929 1


Which of them is most stable, and which least? Most stable: (two); least stable: (one).


(one)
# Tl3AgI4 (PBE, relaxed)
# Symmetry ... Pmn2_1, No. 31
data_Tl3AgI4
_cell_length_a 7.010
_cell_length_b 10.573
_cell_length_c 9.875
_cell_angle_alpha 90.00
_cell_angle_beta 90.00
_cell_angle_gamma 90.00
_symmetry_space_group_name_H-M 'P 1'
_symmetry_Int_Tables_number 1
loop_
_symmetry_equiv_pos_as_xyz
'x,y,z'
loop_
_atom_site_label
_atom_site_fract_x
_atom_site_fract_y
_atom_site_fract_z
_atom_site_occupancy
I1 0.579 0.673 0.754 1
Tl1 0.072 0.652 0.194 1
Ag1 0.996 0.207 0.000 1
Tl2 0.572 0.348 0.306 1
I2 0.079 0.327 0.746 1
I3 0.579 0.673 0.246 1
Tl3 0.069 0.093 0.500 1
Tl4 0.572 0.348 0.694 1
Tl5 0.072 0.652 0.806 1
I4 0.079 0.327 0.254 1
Ag2 0.496 0.793 0.500 1
I5 0.578 0.235 0.000 1
I6 0.071 0.940 0.000 1
I7 0.571 0.060 0.500 1
Tl6 0.569 0.907 0.000 1
I8 0.078 0.765 0.500 1


(two)
# Tl3AgI4 (PBE, relaxed)
# Symmetry ... Pmn2_1, No. 31
data_Tl3AgI4
_cell_length_a 4.781
_cell_length_b 10.991
_cell_length_c 12.451
_cell_angle_alpha 90.00
_cell_angle_beta 90.00
_cell_angle_gamma 90.00
_symmetry_space_group_name_H-M 'P 1'
_symmetry_Int_Tables_number 1
loop_
_symmetry_equiv_pos_as_xyz
'x,y,z'
loop_
_atom_site_label
_atom_site_fract_x
_atom_site_fract_y
_atom_site_fract_z
_atom_site_occupancy
Tl1 0.565 0.365 0.693 1
I1 0.564 0.164 0.500 1
I2 0.564 0.810 0.690 1
Tl2 0.565 0.060 0.000 1
I3 0.064 0.513 0.500 1
Tl3 0.065 0.635 0.193 1
I4 0.564 0.487 0.000 1
I5 0.064 0.190 0.810 1
Tl4 0.065 0.635 0.807 1
I6 0.064 0.190 0.190 1
I7 0.064 0.836 0.000 1
Tl5 0.565 0.365 0.307 1
I8 0.564 0.810 0.310 1
Tl6 0.065 0.940 0.500 1
Ag1 0.564 0.665 0.500 1
Ag2 0.064 0.335 0.000 1


Which of them is most stable, and which least? Most stable: (two); least stable: (one).


(one)
# TlAg2I2 (PBE, relaxed)
# Symmetry ... P4/mbm, No. 127
data_TlAg2I2
_cell_length_a 8.370
_cell_length_b 8.370
_cell_length_c 4.215
_cell_angle_alpha 90.00
_cell_angle_beta 90.00
_cell_angle_gamma 90.00
_symmetry_space_group_name_H-M 'P 1'
_symmetry_Int_Tables_number 1
loop_
_symmetry_equiv_pos_as_xyz
'x,y,z'
loop_
_atom_site_label
_atom_site_fract_x
_atom_site_fract_y
_atom_site_fract_z
_atom_site_occupancy
Ag1 0.882 0.618 0.000 1
I1 0.195 0.695 0.500 1
Ag2 0.118 0.382 0.000 1
Tl1 0.000 0.000 0.000 1
Tl2 0.500 0.500 0.000 1
I2 0.805 0.305 0.500 1
I3 0.695 0.805 0.500 1
Ag3 0.382 0.882 0.000 1
I4 0.305 0.195 0.500 1
Ag4 0.618 0.118 0.000 1


(two)
# TlAg2I2 (PBE, relaxed)
# Symmetry ... P4/mbm, No. 127
data_TlAg2I2
_cell_length_a 8.901
_cell_length_b 8.901
_cell_length_c 3.914
_cell_angle_alpha 90.00
_cell_angle_beta 90.00
_cell_angle_gamma 90.00
_symmetry_space_group_name_H-M 'P 1'
_symmetry_Int_Tables_number 1
loop_
_symmetry_equiv_pos_as_xyz
'x,y,z'
loop_
_atom_site_label
_atom_site_fract_x
_atom_site_fract_y
_atom_site_fract_z
_atom_site_occupancy
Tl1 0.500 0.500 0.000 1
Ag1 0.118 0.618 0.500 1
I1 0.330 0.830 0.000 1
Ag2 0.882 0.382 0.500 1
Ag3 0.618 0.882 0.500 1
Tl2 0.000 0.000 0.000 1
Ag4 0.382 0.118 0.500 1
I2 0.670 0.170 0.000 1
I3 0.830 0.670 0.000 1
I4 0.170 0.330 0.000 1


Which of them is most stable, and which least? Most stable: (one); least stable: (two).


(one)
# TmAgI4 (PBE, relaxed)
# Symmetry ... P2/m, No. 10
data_TmAgI4
_cell_length_a 4.325
_cell_length_b 7.585
_cell_length_c 7.713
_cell_angle_alpha 93.73
_cell_angle_beta 90.00
_cell_angle_gamma 90.00
_symmetry_space_group_name_H-M 'P 1'
_symmetry_Int_Tables_number 1
loop_
_symmetry_equiv_pos_as_xyz
'x,y,z'
loop_
_atom_site_label
_atom_site_fract_x
_atom_site_fract_y
_atom_site_fract_z
_atom_site_occupancy
I1 0.500 0.788 0.814 1
I2 0.500 0.212 0.186 1
Tm1 0.500 0.000 0.500 1
I3 0.000 0.758 0.344 1
Ag1 0.000 0.000 0.000 1
I4 0.000 0.242 0.656 1


(two)
# TmAgI4 (PBE, relaxed)
# Symmetry ... C2/m, No. 12
data_TmAgI4
_cell_length_a 6.183
_cell_length_b 12.828
_cell_length_c 8.577
_cell_angle_alpha 115.87
_cell_angle_beta 90.00
_cell_angle_gamma 103.94
_symmetry_space_group_name_H-M 'P 1'
_symmetry_Int_Tables_number 1
loop_
_symmetry_equiv_pos_as_xyz
'x,y,z'
loop_
_atom_site_label
_atom_site_fract_x
_atom_site_fract_y
_atom_site_fract_z
_atom_site_occupancy
Tm1 0.815 0.630 0.710 1
I1 0.081 0.163 0.957 1
I2 0.282 0.563 0.173 1
I3 0.299 0.599 0.669 1
Ag1 0.826 0.652 0.152 1
I4 0.718 0.437 0.827 1
I5 0.919 0.837 0.043 1
I6 0.701 0.401 0.331 1
I7 0.888 0.776 0.523 1
I8 0.112 0.224 0.477 1
Ag2 0.174 0.348 0.848 1
Tm2 0.185 0.370 0.290 1


Which of them is most stable, and which least? Most stable: (one); least stable: (two).


(one)
# UAgI6 (PBE, relaxed)
# Symmetry ... C2/m, No. 12
data_UAgI6
_cell_length_a 7.612
_cell_length_b 7.613
_cell_length_c 7.907
_cell_angle_alpha 61.22
_cell_angle_beta 78.29
_cell_angle_gamma 65.07
_symmetry_space_group_name_H-M 'P 1'
_symmetry_Int_Tables_number 1
loop_
_symmetry_equiv_pos_as_xyz
'x,y,z'
loop_
_atom_site_label
_atom_site_fract_x
_atom_site_fract_y
_atom_site_fract_z
_atom_site_occupancy
I1 0.750 0.096 0.309 1
I2 0.226 0.226 0.000 1
I3 0.750 0.405 0.691 1
U1 0.000 0.000 0.000 1
I4 0.250 0.595 0.309 1
I5 0.774 0.774 0.000 1
I6 0.250 0.904 0.691 1
Ag1 0.500 0.500 0.000 1


(two)
# UAgI6 (PBE, relaxed)
# Symmetry ... P-1, No. 2
data_UAgI6
_cell_length_a 7.553
_cell_length_b 7.554
_cell_length_c 8.110
_cell_angle_alpha 62.29
_cell_angle_beta 62.27
_cell_angle_gamma 59.97
_symmetry_space_group_name_H-M 'P 1'
_symmetry_Int_Tables_number 1
loop_
_symmetry_equiv_pos_as_xyz
'x,y,z'
loop_
_atom_site_label
_atom_site_fract_x
_atom_site_fract_y
_atom_site_fract_z
_atom_site_occupancy
U1 0.000 0.000 0.000 1
I1 0.092 0.395 0.753 1
Ag1 0.500 0.500 0.500 1
I2 0.241 0.908 0.247 1
I3 0.395 0.759 0.753 1
I4 0.908 0.605 0.247 1
I5 0.605 0.241 0.247 1
I6 0.759 0.092 0.753 1


Which of them is most stable, and which least? Most stable: (one); least stable: (two).


(one)
# U2AgI8 (PBE, relaxed)
# Symmetry ... C2/m, No. 12
data_U2AgI8
_cell_length_a 9.438
_cell_length_b 8.224
_cell_length_c 8.224
_cell_angle_alpha 62.68
_cell_angle_beta 84.52
_cell_angle_gamma 84.52
_symmetry_space_group_name_H-M 'P 1'
_symmetry_Int_Tables_number 1
loop_
_symmetry_equiv_pos_as_xyz
'x,y,z'
loop_
_atom_site_label
_atom_site_fract_x
_atom_site_fract_y
_atom_site_fract_z
_atom_site_occupancy
I1 0.140 0.623 0.128 1
I2 0.442 0.667 0.667 1
I3 0.323 0.098 0.098 1
U1 0.352 0.874 0.874 1
I4 0.558 0.333 0.333 1
I5 0.677 0.902 0.902 1
U2 0.648 0.126 0.126 1
I6 0.140 0.128 0.623 1
I7 0.860 0.872 0.377 1
I8 0.860 0.377 0.872 1
Ag1 0.000 0.000 0.000 1


(two)
# U2AgI8 (PBE, relaxed)
# Symmetry ... P-1, No. 2
data_U2AgI8
_cell_length_a 6.281
_cell_length_b 9.694
_cell_length_c 9.704
_cell_angle_alpha 120.00
_cell_angle_beta 89.99
_cell_angle_gamma 90.00
_symmetry_space_group_name_H-M 'P 1'
_symmetry_Int_Tables_number 1
loop_
_symmetry_equiv_pos_as_xyz
'x,y,z'
loop_
_atom_site_label
_atom_site_fract_x
_atom_site_fract_y
_atom_site_fract_z
_atom_site_occupancy
I1 0.737 0.333 0.667 1
Ag1 0.000 0.000 0.000 1
I2 0.749 0.317 0.159 1
I3 0.251 0.158 0.318 1
I4 0.749 0.842 0.682 1
U1 0.775 0.667 0.333 1
I5 0.251 0.159 0.842 1
I6 0.263 0.667 0.333 1
U2 0.225 0.333 0.667 1
I7 0.749 0.841 0.158 1
I8 0.251 0.683 0.841 1


Which of them is most stable, and which least? Most stable: (one); least stable: (two).


(one)
# VAgI2 (PBE, relaxed)
# Symmetry ... Fm-3m, No. 225
data_VAgI2
_cell_length_a 5.268
_cell_length_b 5.268
_cell_length_c 5.268
_cell_angle_alpha 60.00
_cell_angle_beta 60.00
_cell_angle_gamma 60.00
_symmetry_space_group_name_H-M 'P 1'
_symmetry_Int_Tables_number 1
loop_
_symmetry_equiv_pos_as_xyz
'x,y,z'
loop_
_atom_site_label
_atom_site_fract_x
_atom_site_fract_y
_atom_site_fract_z
_atom_site_occupancy
I1 0.750 0.750 0.750 1
Ag1 0.500 0.500 0.500 1
V1 0.000 0.000 0.000 1
I2 0.250 0.250 0.250 1


(two)
# VAgI2 (PBE, relaxed)
# Symmetry ... I-42d, No. 122
data_VAgI2
_cell_length_a 6.624
_cell_length_b 6.624
_cell_length_c 7.891
_cell_angle_alpha 65.18
_cell_angle_beta 65.18
_cell_angle_gamma 90.00
_symmetry_space_group_name_H-M 'P 1'
_symmetry_Int_Tables_number 1
loop_
_symmetry_equiv_pos_as_xyz
'x,y,z'
loop_
_atom_site_label
_atom_site_fract_x
_atom_site_fract_y
_atom_site_fract_z
_atom_site_occupancy
Ag1 0.750 0.250 0.500 1
I1 0.610 0.125 0.250 1
V1 0.500 0.500 0.000 1
I2 0.140 0.625 0.250 1
I3 0.375 0.390 0.750 1
I4 0.875 0.860 0.750 1
V2 0.250 0.750 0.500 1
Ag2 0.000 0.000 0.000 1


Which of them is most stable, and which least? Most stable: (two); least stable: (one).


(one)
# YAgI2 (PBE, relaxed)
# Symmetry ... I-42d, No. 122
data_YAgI2
_cell_length_a 7.335
_cell_length_b 7.335
_cell_length_c 7.856
_cell_angle_alpha 62.17
_cell_angle_beta 62.17
_cell_angle_gamma 90.00
_symmetry_space_group_name_H-M 'P 1'
_symmetry_Int_Tables_number 1
loop_
_symmetry_equiv_pos_as_xyz
'x,y,z'
loop_
_atom_site_label
_atom_site_fract_x
_atom_site_fract_y
_atom_site_fract_z
_atom_site_occupancy
Y1 0.250 0.750 0.500 1
Ag1 0.750 0.250 0.500 1
I1 0.375 0.361 0.750 1
Ag2 0.000 0.000 0.000 1
Y2 0.500 0.500 0.000 1
I2 0.875 0.889 0.750 1
I3 0.111 0.625 0.250 1
I4 0.639 0.125 0.250 1


(two)
# YAgI2 (PBE, relaxed)
# Symmetry ... Fm-3m, No. 225
data_YAgI2
_cell_length_a 5.427
_cell_length_b 5.427
_cell_length_c 5.427
_cell_angle_alpha 60.00
_cell_angle_beta 60.00
_cell_angle_gamma 60.00
_symmetry_space_group_name_H-M 'P 1'
_symmetry_Int_Tables_number 1
loop_
_symmetry_equiv_pos_as_xyz
'x,y,z'
loop_
_atom_site_label
_atom_site_fract_x
_atom_site_fract_y
_atom_site_fract_z
_atom_site_occupancy
I1 0.250 0.250 0.250 1
I2 0.750 0.750 0.750 1
Y1 0.000 0.000 0.000 1
Ag1 0.500 0.500 0.500 1


Which of them is most stable, and which least? Most stable: (two); least stable: (one).


(one)
# Y2AgI (PBE, relaxed)
# Symmetry ... Fm-3m, No. 225
data_Y2AgI
_cell_length_a 5.314
_cell_length_b 5.314
_cell_length_c 5.314
_cell_angle_alpha 60.00
_cell_angle_beta 60.00
_cell_angle_gamma 60.00
_symmetry_space_group_name_H-M 'P 1'
_symmetry_Int_Tables_number 1
loop_
_symmetry_equiv_pos_as_xyz
'x,y,z'
loop_
_atom_site_label
_atom_site_fract_x
_atom_site_fract_y
_atom_site_fract_z
_atom_site_occupancy
Ag1 0.000 0.000 0.000 1
I1 0.500 0.500 0.500 1
Y1 0.750 0.750 0.750 1
Y2 0.250 0.250 0.250 1


(two)
# Y2AgI (PBE, relaxed)
# Symmetry ... I-42d, No. 122
data_Y2AgI
_cell_length_a 8.118
_cell_length_b 8.118
_cell_length_c 6.766
_cell_angle_alpha 53.13
_cell_angle_beta 53.13
_cell_angle_gamma 90.00
_symmetry_space_group_name_H-M 'P 1'
_symmetry_Int_Tables_number 1
loop_
_symmetry_equiv_pos_as_xyz
'x,y,z'
loop_
_atom_site_label
_atom_site_fract_x
_atom_site_fract_y
_atom_site_fract_z
_atom_site_occupancy
Y1 0.141 0.625 0.250 1
Ag1 0.250 0.750 0.500 1
Ag2 0.500 0.500 0.000 1
Y2 0.375 0.391 0.750 1
I1 0.750 0.250 0.500 1
Y3 0.609 0.125 0.250 1
I2 0.000 0.000 0.000 1
Y4 0.875 0.859 0.750 1


Which of them is most stable, and which least? Most stable: (one); least stable: (two).


(one)
# Zn2AgI (PBE, relaxed)
# Symmetry ... P1, No. 1
data_Zn2AgI
_cell_length_a 4.125
_cell_length_b 4.139
_cell_length_c 11.680
_cell_angle_alpha 80.65
_cell_angle_beta 83.34
_cell_angle_gamma 86.32
_symmetry_space_group_name_H-M 'P 1'
_symmetry_Int_Tables_number 1
loop_
_symmetry_equiv_pos_as_xyz
'x,y,z'
loop_
_atom_site_label
_atom_site_fract_x
_atom_site_fract_y
_atom_site_fract_z
_atom_site_occupancy
I1 0.077 0.647 0.008 1
Ag1 0.524 0.736 0.193 1
Zn1 0.972 0.641 0.368 1
I2 0.646 0.261 0.721 1
Zn2 0.939 0.057 0.525 1
Zn3 0.416 0.588 0.524 1
Zn4 0.024 0.200 0.205 1
Ag2 0.484 0.156 0.367 1


(two)
# Zn2AgI (PBE, relaxed)
# Symmetry ... Fm-3m, No. 225
data_Zn2AgI
_cell_length_a 5.109
_cell_length_b 5.109
_cell_length_c 5.109
_cell_angle_alpha 60.00
_cell_angle_beta 60.00
_cell_angle_gamma 60.00
_symmetry_space_group_name_H-M 'P 1'
_symmetry_Int_Tables_number 1
loop_
_symmetry_equiv_pos_as_xyz
'x,y,z'
loop_
_atom_site_label
_atom_site_fract_x
_atom_site_fract_y
_atom_site_fract_z
_atom_site_occupancy
I1 0.500 0.500 0.500 1
Zn1 0.750 0.750 0.750 1
Zn2 0.250 0.250 0.250 1
Ag1 0.000 0.000 0.000 1


(three)
# Zn2AgI (PBE, relaxed)
# Symmetry ... P1, No. 1
data_Zn2AgI
_cell_length_a 4.522
_cell_length_b 6.681
_cell_length_c 6.772
_cell_angle_alpha 93.15
_cell_angle_beta 90.06
_cell_angle_gamma 90.02
_symmetry_space_group_name_H-M 'P 1'
_symmetry_Int_Tables_number 1
loop_
_symmetry_equiv_pos_as_xyz
'x,y,z'
loop_
_atom_site_label
_atom_site_fract_x
_atom_site_fract_y
_atom_site_fract_z
_atom_site_occupancy
Zn1 0.870 0.188 0.799 1
Ag1 0.870 0.467 0.528 1
Zn2 0.370 0.690 0.614 1
I1 0.868 0.475 0.112 1
Ag2 0.870 0.788 0.832 1
Zn3 0.370 0.279 0.621 1
Zn4 0.371 0.003 0.884 1
I2 0.368 0.979 0.305 1


Which of them is most stable, and which least? Most stable: (one); least stable: (two).


(one)
# ZnAg3I (PBE, relaxed)
# Symmetry ... Pm-3m, No. 221
data_ZnAg3I
_cell_length_a 5.585
_cell_length_b 5.585
_cell_length_c 5.585
_cell_angle_alpha 90.00
_cell_angle_beta 90.00
_cell_angle_gamma 90.00
_symmetry_space_group_name_H-M 'P 1'
_symmetry_Int_Tables_number 1
loop_
_symmetry_equiv_pos_as_xyz
'x,y,z'
loop_
_atom_site_label
_atom_site_fract_x
_atom_site_fract_y
_atom_site_fract_z
_atom_site_occupancy
Ag1 0.000 0.000 0.500 1
Ag2 0.000 0.500 0.000 1
I1 0.000 0.000 0.000 1
Zn1 0.500 0.500 0.500 1
Ag3 0.500 0.000 0.000 1


(two)
# ZnAg3I (PBE, relaxed)
# Symmetry ... Pm-3m, No. 221
data_ZnAg3I
_cell_length_a 5.026
_cell_length_b 5.026
_cell_length_c 5.026
_cell_angle_alpha 90.00
_cell_angle_beta 90.00
_cell_angle_gamma 90.00
_symmetry_space_group_name_H-M 'P 1'
_symmetry_Int_Tables_number 1
loop_
_symmetry_equiv_pos_as_xyz
'x,y,z'
loop_
_atom_site_label
_atom_site_fract_x
_atom_site_fract_y
_atom_site_fract_z
_atom_site_occupancy
Ag1 0.000 0.500 0.000 1
Ag2 0.500 0.000 0.000 1
Zn1 0.000 0.000 0.000 1
Ag3 0.000 0.000 0.500 1
I1 0.500 0.500 0.500 1


Which of them is most stable, and which least? Most stable: (two); least stable: (one).